(1)
DFT (PBE) results for a relaxed structure of SmTlTe2O8.

As for the raw formation energy: -16.7 eV per formula unit. As for the density of states at the Fermi level: 0.00 states/eV per atom. The calculation puts the total magnetic moment at 0.00 μB/atom. The value obtained for the mass density is 4.8 g/cm³.

The space group is P-3 (No. 147) and the conventional cell measures 6.0740, 6.0740 and 7.9558 Å, with angles of 90.00, 90.00 and 120.00 degrees. Symmetry generates all atoms from Sm at (0.0000, 0.0000, 0.0000), Tl at (0.0000, 0.0000, 0.5000), Te at (0.3333, 0.6667, 0.2668), O at (0.1528, 0.3401, 0.1828) and O at (0.3333, 0.6667, 0.4954).

=====

(2)
DFT (PBE) results for a relaxed structure of KInPb2.

As for the density of states at the Fermi level: 0.34 states/eV per atom. For the total energy, the calculation gives -22.6 eV for the cell shown. The calculation puts the total magnetic moment at 0.00 μB/atom. The value obtained for the mass density is 7.3 g/cm³.

The space group is C2/m (No. 12) and the conventional cell measures 7.196, 11.766 and 3.321 Å, with angles of 90.00, 113.60 and 90.00 degrees. Symmetry generates all atoms from K at (0.000, 0.000, 0.000), In at (0.000, 0.500, 0.000) and Pb at (0.250, 0.250, 0.500).

=====

(3)
DFT (PBE) results for a relaxed structure of YOsPt2Br.

As for the raw formation energy: 1.8 eV per formula unit. As for the density of states at the Fermi level: 0.68 states/eV per atom. The calculation puts the total magnetic moment at 0.00 μB/atom. The value obtained for the mass density is 9.7 g/cm³.

The space group is P4/mmm (No. 123) and the conventional cell measures 4.794, 4.794 and 5.607 Å, with angles of 90.00, 90.00 and 90.00 degrees. Symmetry generates all atoms from Y at (0.000, 0.000, 0.000), Os at (0.000, 0.000, 0.500), Pt at (0.000, 0.500, 0.500) and Br at (0.500, 0.500, 0.000).